1.
This record from Alexandria describes CaNbSb after structural relaxation. The functional is GGA-PBE.

As for the theoretical density: 5.7 g/cm³. Its crystal system is orthorhombic. For the total energy, the calculation gives -5.927 eV per atom. The value obtained for the magnetic moment is 0.50 μB per cell. The calculation puts the formation energy without anion corrections at -1.6 eV per formula unit. The calculation puts the calculated volume at 74 Å³/f.u.

```
data_CaNbSb
_cell_length_a 4.1014
_cell_length_b 4.4018
_cell_length_c 8.1978
_cell_angle_alpha 90.00
_cell_angle_beta 90.00
_cell_angle_gamma 90.00
_symmetry_space_group_name_H-M 'P 1'
_symmetry_Int_Tables_number 1
loop_
_symmetry_equiv_pos_as_xyz
'x,y,z'
loop_
_atom_site_label
_atom_site_fract_x
_atom_site_fract_y
_atom_site_fract_z
_atom_site_occupancy
Ca1 0.2500 0.2500 0.1518 1
Ca2 0.7500 0.7500 0.8482 1
Nb1 0.2500 0.7500 0.5062 1
Nb2 0.7500 0.2500 0.4938 1
Sb1 0.2500 0.2500 0.7423 1
Sb2 0.7500 0.7500 0.2577 1
```

***

2.
This record from Alexandria describes ErTmGa6 after structural relaxation. The functional is GGA-PBE.

As for the theoretical density: 8.2 g/cm³. Its crystal system is orthorhombic. For the total energy, the calculation gives -3.899 eV per atom. The value obtained for the magnetic moment is 0.00 μB per cell. For the formation energy, the calculation gives -0.500 eV per atom. The calculation puts the calculated volume at 153 Å³/f.u.

```
data_ErTmGa6
_cell_length_a 4.5955
_cell_length_b 6.1891
_cell_length_c 6.1891
_cell_angle_alpha 60.07
_cell_angle_beta 90.00
_cell_angle_gamma 90.00
_symmetry_space_group_name_H-M 'P 1'
_symmetry_Int_Tables_number 1
loop_
_symmetry_equiv_pos_as_xyz
'x,y,z'
loop_
_atom_site_label
_atom_site_fract_x
_atom_site_fract_y
_atom_site_fract_z
_atom_site_occupancy
Er1 0.0000 0.0000 0.0000 1
Tm1 0.5000 0.6674 0.6674 1
Ga1 0.0000 0.0353 0.4826 1
Ga2 0.0000 0.4826 0.0353 1
Ga3 0.0000 0.4833 0.4833 1
Ga4 0.5000 0.1847 0.1847 1
Ga5 0.5000 0.1853 0.6311 1
Ga6 0.5000 0.6311 0.1853 1
```

***

3.
This record from Alexandria describes Ho2AgTe after structural relaxation. The functional is GGA-PBE.

As for the theoretical density: 8.4 g/cm³. The value obtained for the distance to the lowest polymorph of the same formula is 0.31 eV per formula unit. Its crystal system is trigonal. For the total energy, the calculation gives -4.486 eV per atom. The value obtained for the magnetic moment is 0.00 μB per cell. The calculation puts the formation energy without anion corrections at -2.8 eV per formula unit. The calculation puts the calculated volume at 111 Å³/f.u.

```
data_Ho2AgTe
_cell_length_a 7.8913
_cell_length_b 7.8913
_cell_length_c 7.8913
_cell_angle_alpha 30.37
_cell_angle_beta 30.37
_cell_angle_gamma 30.37
_symmetry_space_group_name_H-M 'P 1'
_symmetry_Int_Tables_number 1
loop_
_symmetry_equiv_pos_as_xyz
'x,y,z'
loop_
_atom_site_label
_atom_site_fract_x
_atom_site_fract_y
_atom_site_fract_z
_atom_site_occupancy
Ho1 0.2458 0.2458 0.2458 1
Ho2 0.7542 0.7542 0.7542 1
Ag1 0.5000 0.5000 0.5000 1
Te1 0.0000 0.0000 0.0000 1
```

***

4.
This record from Alexandria describes NdPaTe2 after structural relaxation. The functional is GGA-PBE.

As for the theoretical density: 9.5 g/cm³. The value obtained for the distance to the lowest polymorph of the same formula is 0.00 eV per formula unit. Its crystal system is tetragonal. For the total energy, the calculation gives -6.104 eV per atom. The value obtained for the magnetic moment is 1.24 μB per cell. The calculation puts the formation energy without anion corrections at -3.9 eV per formula unit. The calculation puts the calculated volume at 110 Å³/f.u.

```
data_NdPaTe2
_cell_length_a 3.7990
_cell_length_b 3.7990
_cell_length_c 7.6231
_cell_angle_alpha 90.00
_cell_angle_beta 90.00
_cell_angle_gamma 90.00
_symmetry_space_group_name_H-M 'P 1'
_symmetry_Int_Tables_number 1
loop_
_symmetry_equiv_pos_as_xyz
'x,y,z'
loop_
_atom_site_label
_atom_site_fract_x
_atom_site_fract_y
_atom_site_fract_z
_atom_site_occupancy
Nd1 0.0000 0.0000 0.0000 1
Pa1 0.0000 0.0000 0.5000 1
Te1 0.5000 0.5000 0.2619 1
Te2 0.5000 0.5000 0.7381 1
```

***

5.
This record from Alexandria describes ZnTeAu2 after structural relaxation. The functional is GGA-PBE.

As for the theoretical density: 11.5 g/cm³. The value obtained for the distance to the lowest polymorph of the same formula is 0.39 eV per formula unit. Its crystal system is monoclinic. For the total energy, the calculation gives -2.722 eV per atom. The value obtained for the magnetic moment is 0.00 μB per cell. The calculation puts the formation energy without anion corrections at 0.1 eV per formula unit. The calculation puts the calculated volume at 85 Å³/f.u.

```
data_ZnTeAu2
_cell_length_a 5.7714
_cell_length_b 5.7714
_cell_length_c 4.1030
_cell_angle_alpha 110.28
_cell_angle_beta 110.28
_cell_angle_gamma 120.23
_symmetry_space_group_name_H-M 'P 1'
_symmetry_Int_Tables_number 1
loop_
_symmetry_equiv_pos_as_xyz
'x,y,z'
loop_
_atom_site_label
_atom_site_fract_x
_atom_site_fract_y
_atom_site_fract_z
_atom_site_occupancy
Zn1 0.0000 0.0000 0.0000 1
Te1 0.5000 0.5000 0.0000 1
Au1 0.0000 0.5000 0.0000 1
Au2 0.5000 0.0000 0.0000 1
```

***

6.
This record from Alexandria describes Ho3BiPb after structural relaxation. The functional is GGA-PBE.

As for the theoretical density: 9.2 g/cm³. Its crystal system is monoclinic. For the total energy, the calculation gives -4.667 eV per atom. The value obtained for the magnetic moment is 0.00 μB per cell. For the formation energy, the calculation gives -0.402 eV per atom. The calculation puts the calculated volume at 165 Å³/f.u.

```
data_Ho3BiPb
_cell_length_a 8.6851
_cell_length_b 4.1785
_cell_length_c 9.0904
_cell_angle_alpha 90.00
_cell_angle_beta 90.53
_cell_angle_gamma 90.00
_symmetry_space_group_name_H-M 'P 1'
_symmetry_Int_Tables_number 1
loop_
_symmetry_equiv_pos_as_xyz
'x,y,z'
loop_
_atom_site_label
_atom_site_fract_x
_atom_site_fract_y
_atom_site_fract_z
_atom_site_occupancy
Ho1 0.0056 0.2500 0.1477 1
Ho2 0.3452 0.7500 0.1284 1
Ho3 0.3671 0.7500 0.6165 1
Ho4 0.6329 0.2500 0.3835 1
Ho5 0.6548 0.2500 0.8716 1
Ho6 0.9944 0.7500 0.8523 1
Bi1 0.2787 0.2500 0.8697 1
Bi2 0.7213 0.7500 0.1303 1
Pb1 0.2696 0.2500 0.3782 1
Pb2 0.7304 0.7500 0.6218 1
```

***

7.
This record from Alexandria describes YSc3Ta after structural relaxation. The functional is GGA-PBE.

As for the theoretical density: 5.4 g/cm³. The value obtained for the distance to the lowest polymorph of the same formula is 4.71 eV per formula unit. Its crystal system is cubic. For the total energy, the calculation gives -5.999 eV per atom. The value obtained for the magnetic moment is 0.00 μB per cell. For the formation energy, the calculation gives 1.463 eV per atom. The calculation puts the calculated volume at 125 Å³/f.u.

```
data_YSc3Ta
_cell_length_a 4.9974
_cell_length_b 4.9974
_cell_length_c 4.9974
_cell_angle_alpha 90.00
_cell_angle_beta 90.00
_cell_angle_gamma 90.00
_symmetry_space_group_name_H-M 'P 1'
_symmetry_Int_Tables_number 1
loop_
_symmetry_equiv_pos_as_xyz
'x,y,z'
loop_
_atom_site_label
_atom_site_fract_x
_atom_site_fract_y
_atom_site_fract_z
_atom_site_occupancy
Y1 0.0000 0.0000 0.0000 1
Sc1 0.0000 0.0000 0.5000 1
Sc2 0.0000 0.5000 0.0000 1
Sc3 0.5000 0.0000 0.0000 1
Ta1 0.5000 0.5000 0.5000 1
```

***

8.
This record from Alexandria describes SrY2TaN4 after structural relaxation. The functional is GGA-PBE.

As for the theoretical density: 6.5 g/cm³. Its crystal system is orthorhombic. For the total energy, the calculation gives -8.740 eV per atom. The value obtained for the magnetic moment is 0.00 μB per cell. The calculation puts the formation energy without anion corrections at -10.2 eV per formula unit. The calculation puts the calculated volume at 129 Å³/f.u.

```
data_SrY2TaN4
_cell_length_a 6.3656
_cell_length_b 6.3656
_cell_length_c 12.1961
_cell_angle_alpha 90.00
_cell_angle_beta 90.00
_cell_angle_gamma 148.47
_symmetry_space_group_name_H-M 'P 1'
_symmetry_Int_Tables_number 1
loop_
_symmetry_equiv_pos_as_xyz
'x,y,z'
loop_
_atom_site_label
_atom_site_fract_x
_atom_site_fract_y
_atom_site_fract_z
_atom_site_occupancy
Sr1 0.0987 0.9013 0.7500 1
Sr2 0.9013 0.0987 0.2500 1
Y1 0.3714 0.6286 0.5336 1
Y2 0.3714 0.6286 0.9664 1
Y3 0.6286 0.3714 0.0336 1
Y4 0.6286 0.3714 0.4664 1
Ta1 0.1663 0.8337 0.2500 1
Ta2 0.8337 0.1663 0.7500 1
N1 0.0000 0.0000 0.0000 1
N2 0.0000 0.0000 0.5000 1
N3 0.2576 0.7424 0.1205 1
N4 0.2576 0.7424 0.3795 1
N5 0.4230 0.5770 0.7500 1
N6 0.5770 0.4230 0.2500 1
N7 0.7424 0.2576 0.6205 1
N8 0.7424 0.2576 0.8795 1
```

***

9.
This record from Alexandria describes Pm2Sn4IrRh3 after structural relaxation. The functional is GGA-PBE.

As for the theoretical density: 9.7 g/cm³. Its crystal system is tetragonal. For the total energy, the calculation gives -6.308 eV per atom. The value obtained for the magnetic moment is 0.00 μB per cell. For the formation energy, the calculation gives -0.665 eV per atom. The calculation puts the calculated volume at 216 Å³/f.u.

```
data_Pm2Sn4IrRh3
_cell_length_a 4.4777
_cell_length_b 4.4777
_cell_length_c 10.7885
_cell_angle_alpha 90.00
_cell_angle_beta 90.00
_cell_angle_gamma 90.00
_symmetry_space_group_name_H-M 'P 1'
_symmetry_Int_Tables_number 1
loop_
_symmetry_equiv_pos_as_xyz
'x,y,z'
loop_
_atom_site_label
_atom_site_fract_x
_atom_site_fract_y
_atom_site_fract_z
_atom_site_occupancy
Pm1 0.0000 0.5000 0.2469 1
Pm2 0.5000 0.0000 0.7531 1
Sn1 0.0000 0.0000 0.5000 1
Sn2 0.0000 0.5000 0.8688 1
Sn3 0.5000 0.0000 0.1312 1
Sn4 0.5000 0.5000 0.5000 1
Ir1 0.5000 0.5000 0.0000 1
Rh1 0.0000 0.0000 0.0000 1
Rh2 0.0000 0.5000 0.6314 1
Rh3 0.5000 0.0000 0.3686 1
```

***

10.
This record from Alexandria describes CsMgSb2Te after structural relaxation. The functional is GGA-PBE.

As for the theoretical density: 4.8 g/cm³. The value obtained for the distance to the lowest polymorph of the same formula is 0.00 eV per formula unit. Its crystal system is tetragonal. For the total energy, the calculation gives -2.813 eV per atom. The value obtained for the magnetic moment is 0.00 μB per cell. The calculation puts the formation energy without anion corrections at -0.2 eV per formula unit. The calculation puts the calculated volume at 181 Å³/f.u.

```
data_CsMgSb2Te
_cell_length_a 5.5683
_cell_length_b 5.5683
_cell_length_c 5.8446
_cell_angle_alpha 90.00
_cell_angle_beta 90.00
_cell_angle_gamma 90.00
_symmetry_space_group_name_H-M 'P 1'
_symmetry_Int_Tables_number 1
loop_
_symmetry_equiv_pos_as_xyz
'x,y,z'
loop_
_atom_site_label
_atom_site_fract_x
_atom_site_fract_y
_atom_site_fract_z
_atom_site_occupancy
Cs1 0.0000 0.0000 0.0000 1
Mg1 0.5000 0.5000 0.5000 1
Sb1 0.0000 0.5000 0.5000 1
Sb2 0.5000 0.0000 0.5000 1
Te1 0.5000 0.5000 0.0000 1
```

***

11.
This record from Alexandria describes InTcAg3 after structural relaxation. The functional is GGA-PBE.

As for the theoretical density: 6.4 g/cm³. The value obtained for the distance to the lowest polymorph of the same formula is 0.00 eV per formula unit. Its crystal system is cubic. For the total energy, the calculation gives -3.121 eV per atom. The value obtained for the magnetic moment is 3.15 μB per cell. For the formation energy, the calculation gives 1.211 eV per atom. The calculation puts the calculated volume at 140 Å³/f.u.

```
data_InTcAg3
_cell_length_a 5.1907
_cell_length_b 5.1907
_cell_length_c 5.1907
_cell_angle_alpha 90.00
_cell_angle_beta 90.00
_cell_angle_gamma 90.00
_symmetry_space_group_name_H-M 'P 1'
_symmetry_Int_Tables_number 1
loop_
_symmetry_equiv_pos_as_xyz
'x,y,z'
loop_
_atom_site_label
_atom_site_fract_x
_atom_site_fract_y
_atom_site_fract_z
_atom_site_occupancy
In1 0.0000 0.0000 0.0000 1
Tc1 0.5000 0.5000 0.5000 1
Ag1 0.0000 0.5000 0.5000 1
Ag2 0.5000 0.0000 0.5000 1
Ag3 0.5000 0.5000 0.0000 1
```

***

12.
This record from Alexandria describes PmSi2Rh3 after structural relaxation. The functional is GGA-PBE.

As for the theoretical density: 8.5 g/cm³. The value obtained for the distance to the lowest polymorph of the same formula is 0.00 eV per formula unit. Its crystal system is hexagonal. For the total energy, the calculation gives -7.298 eV per atom. The value obtained for the magnetic moment is 0.00 μB per cell. The calculation puts the formation energy without anion corrections at -6.1 eV per formula unit. The calculation puts the calculated volume at 99 Å³/f.u.

```
data_PmSi2Rh3
_cell_length_a 5.5847
_cell_length_b 5.5847
_cell_length_c 3.6682
_cell_angle_alpha 90.00
_cell_angle_beta 90.00
_cell_angle_gamma 120.00
_symmetry_space_group_name_H-M 'P 1'
_symmetry_Int_Tables_number 1
loop_
_symmetry_equiv_pos_as_xyz
'x,y,z'
loop_
_atom_site_label
_atom_site_fract_x
_atom_site_fract_y
_atom_site_fract_z
_atom_site_occupancy
Pm1 0.0000 0.0000 0.0000 1
Si1 0.3333 0.6667 0.0000 1
Si2 0.6667 0.3333 0.0000 1
Rh1 0.0000 0.5000 0.5000 1
Rh2 0.5000 0.0000 0.5000 1
Rh3 0.5000 0.5000 0.5000 1
```

***

The highest calculated volume belongs to which entry?
Pm2Sn4IrRh3

***

What did the seventh record say?
This record from Alexandria describes YSc3Ta after structural relaxation. The functional is GGA-PBE.

As for the theoretical density: 5.4 g/cm³. The value obtained for the distance to the lowest polymorph of the same formula is 4.71 eV per formula unit. Its crystal system is cubic. For the total energy, the calculation gives -5.999 eV per atom. The value obtained for the magnetic moment is 0.00 μB per cell. For the formation energy, the calculation gives 1.463 eV per atom. The calculation puts the calculated volume at 125 Å³/f.u.

```
data_YSc3Ta
_cell_length_a 4.9974
_cell_length_b 4.9974
_cell_length_c 4.9974
_cell_angle_alpha 90.00
_cell_angle_beta 90.00
_cell_angle_gamma 90.00
_symmetry_space_group_name_H-M 'P 1'
_symmetry_Int_Tables_number 1
loop_
_symmetry_equiv_pos_as_xyz
'x,y,z'
loop_
_atom_site_label
_atom_site_fract_x
_atom_site_fract_y
_atom_site_fract_z
_atom_site_occupancy
Y1 0.0000 0.0000 0.0000 1
Sc1 0.0000 0.0000 0.5000 1
Sc2 0.0000 0.5000 0.0000 1
Sc3 0.5000 0.0000 0.0000 1
Ta1 0.5000 0.5000 0.5000 1
```

***

Please write out number 6 again, unchanged.
This record from Alexandria describes Ho3BiPb after structural relaxation. The functional is GGA-PBE.

As for the theoretical density: 9.2 g/cm³. Its crystal system is monoclinic. For the total energy, the calculation gives -4.667 eV per atom. The value obtained for the magnetic moment is 0.00 μB per cell. For the formation energy, the calculation gives -0.402 eV per atom. The calculation puts the calculated volume at 165 Å³/f.u.

```
data_Ho3BiPb
_cell_length_a 8.6851
_cell_length_b 4.1785
_cell_length_c 9.0904
_cell_angle_alpha 90.00
_cell_angle_beta 90.53
_cell_angle_gamma 90.00
_symmetry_space_group_name_H-M 'P 1'
_symmetry_Int_Tables_number 1
loop_
_symmetry_equiv_pos_as_xyz
'x,y,z'
loop_
_atom_site_label
_atom_site_fract_x
_atom_site_fract_y
_atom_site_fract_z
_atom_site_occupancy
Ho1 0.0056 0.2500 0.1477 1
Ho2 0.3452 0.7500 0.1284 1
Ho3 0.3671 0.7500 0.6165 1
Ho4 0.6329 0.2500 0.3835 1
Ho5 0.6548 0.2500 0.8716 1
Ho6 0.9944 0.7500 0.8523 1
Bi1 0.2787 0.2500 0.8697 1
Bi2 0.7213 0.7500 0.1303 1
Pb1 0.2696 0.2500 0.3782 1
Pb2 0.7304 0.7500 0.6218 1
```

***

Which value of total energy does entry 1 give?
-5.927 eV per atom